Entry 1:
5
Lattice="4.6889 0.0000 0.0000 0.0000 4.8061 0.0000 0.0000 0.0000 4.6889" Properties=species:S:1:pos:R:3 comment="Ti2OsPdSe, optimized geometry, DFT PBE" dft_energy_ev_per_fu=-30.5 spacegroup="P4/mmm, No. 123" formation_energy_uncorrected_mev_per_atom=1036.4 pbc="T T T"
Os 0.0000 2.4031 0.0000
Se 2.3445 2.4031 2.3445
Pd 0.0000 0.0000 0.0000
Ti 0.0000 0.0000 2.3445
Ti 2.3445 0.0000 0.0000


Entry 2:
5
Lattice="-3.2074 -0.6267 -3.2197 2.7631 -3.1894 -2.1318 -1.8894 -3.3280 2.5300" Properties=species:S:1:pos:R:3 comment="YOs2PdSe, optimized geometry, DFT PBE" dft_energy_ev_per_fu=-35.0 spacegroup="P4/mmm, No. 123" formation_energy_uncorrected_mev_per_atom=511.5 pbc="T T T"
Y -1.1668 -3.5720 -1.4107
Os -0.9447 -1.6640 1.2650
Os -1.6037 -0.3133 -1.6098
Se 0.0000 0.0000 0.0000
Pd 1.3816 -1.5947 -1.0659


What did the first record say?
5
Lattice="4.6889 0.0000 0.0000 0.0000 4.8061 0.0000 0.0000 0.0000 4.6889" Properties=species:S:1:pos:R:3 comment="Ti2OsPdSe, optimized geometry, DFT PBE" dft_energy_ev_per_fu=-30.5 spacegroup="P4/mmm, No. 123" formation_energy_uncorrected_mev_per_atom=1036.4 pbc="T T T"
Os 0.0000 2.4031 0.0000
Se 2.3445 2.4031 2.3445
Pd 0.0000 0.0000 0.0000
Ti 0.0000 0.0000 2.3445
Ti 2.3445 0.0000 0.0000